## w
The following is a DFT calculation (PBE) of a relaxed Mg2CuRe crystal.

```
data_Mg2CuRe
_chemical_formula_sum 'Mg4 Cu2 Re2'
_space_group_name_H-M_alt 'I m m 2'
_space_group_IT_number 44
_cell_length_a 2.809
_cell_length_b 4.724
_cell_length_c 9.695
_cell_angle_alpha 90.00
_cell_angle_beta 90.00
_cell_angle_gamma 90.00
loop_
_space_group_symop_operation_xyz
'x,y,z'
'-x,-y,z'
'-x,y,z'
'x,-y,z'
'x+1/2,y+1/2,z+1/2'
'-x+1/2,-y+1/2,z+1/2'
'-x+1/2,y+1/2,z+1/2'
'x+1/2,-y+1/2,z+1/2'
loop_
_atom_site_label
_atom_site_fract_x
_atom_site_fract_y
_atom_site_fract_z
Mg1 0.000 0.000 0.000
Mg2 0.000 0.500 0.219
Cu1 0.000 0.000 0.484
Re1 0.000 0.500 0.760
```



## x
The following is a DFT calculation (PBE) of a relaxed Mg2CuRe crystal.

```
data_Mg2CuRe
_chemical_formula_sum 'Mg8 Cu4 Re4'
_space_group_name_H-M_alt 'I -4 2 d'
_space_group_IT_number 122
_space_group_name_Hall 'I -4 2bw'
_cell_length_a 7.109
_cell_length_b 7.109
_cell_length_c 5.342
_cell_angle_alpha 90.00
_cell_angle_beta 90.00
_cell_angle_gamma 90.00
loop_
_atom_site_label
_atom_site_fract_x
_atom_site_fract_y
_atom_site_fract_z
Mg1 0.221 0.750 0.125
Cu1 0.000 0.000 0.000
Re1 0.000 0.000 0.500
```



Most favorable first, least favorable last: w, x